The following is a PBE-GGA calculation of a geometry-optimized Cs2RbICl4 structure, from Alexandria.

Output
N(E_F)	0.000	states/eV/f.u.
energy relative to the elements, uncorrected	-1.48	eV per atom
magnetic moment	0.000	μB per atom

CIF file:
```
data_Cs2RbICl4
_chemical_formula_sum 'Cs8 Rb4 I4 Cl16'
_cell_length_a 12.8519
_cell_length_b 15.5843
_cell_length_c 9.4059
_cell_angle_alpha 90.00
_cell_angle_beta 129.48
_cell_angle_gamma 90.00
_space_group_name_H-M_alt 'C 1 2/c 1'
_space_group_IT_number 15
loop_
_space_group_symop_operation_xyz
'x,y,z'
'-x,-y,-z'
'-x,y,-z+1/2'
'x,-y,z+1/2'
'x+1/2,y+1/2,z'
'-x+1/2,-y+1/2,-z'
'-x+1/2,y+1/2,-z+1/2'
'x+1/2,-y+1/2,z+1/2'
loop_
_atom_site_label
_atom_site_type_symbol
_atom_site_fract_x
_atom_site_fract_y
_atom_site_fract_z
Cs1 Cs 0.0000 0.0000 0.0000
Cs2 Cs 0.2500 0.2500 0.0000
Rb1 Rb 0.0000 0.5000 0.0000
I1 I 0.2500 0.2500 0.5000
Cl1 Cl 0.0641 0.2526 0.5321
Cl2 Cl 0.2389 0.4639 0.9897
```

The following is a PBE-GGA calculation of a geometry-optimized Ti3VSi2 structure, from Alexandria.

Output
N(E_F)	4.199	states/eV/f.u.
energy relative to the elements, uncorrected	-0.04	eV per atom
magnetic moment	0.000	μB per atom

CIF file:
```
data_Ti3VSi2
_chemical_formula_sum 'Ti6 V2 Si4'
_cell_length_a 2.7208
_cell_length_b 4.6204
_cell_length_c 14.8446
_cell_angle_alpha 90.00
_cell_angle_beta 90.00
_cell_angle_gamma 90.00
_space_group_name_H-M_alt 'I m m m'
_space_group_IT_number 71
_space_group_name_Hall '-I 2 2'
loop_
_atom_site_label
_atom_site_type_symbol
_atom_site_fract_x
_atom_site_fract_y
_atom_site_fract_z
Ti1 Ti 0.0000 0.0000 0.0000
Ti2 Ti 0.0000 0.5000 0.1764
V1 V 0.0000 0.5000 0.0000
Si1 Si 0.0000 0.5000 0.3478
```

The following is a PBE-GGA calculation of a geometry-optimized Pm5Pr2Rh4 structure, from Alexandria.

Output
N(E_F)	9.285	states/eV/f.u.
energy of formation	-360	kJ/mol of formula units
magnetic moment	0.000	μB per atom

CIF file:
```
data_Pm5Pr2Rh4
_chemical_formula_sum 'Pm10 Pr4 Rh8'
_cell_length_a 24.6226
_cell_length_b 3.7351
_cell_length_c 7.0091
_cell_angle_alpha 90.00
_cell_angle_beta 93.89
_cell_angle_gamma 90.00
_space_group_name_H-M_alt 'C 1 2/m 1'
_space_group_IT_number 12
loop_
_space_group_symop_operation_xyz
'x,y,z'
'-x,-y,-z'
'-x,y,-z'
'x,-y,z'
'x+1/2,y+1/2,z'
'-x+1/2,-y+1/2,-z'
'-x+1/2,y+1/2,-z'
'x+1/2,-y+1/2,z'
loop_
_atom_site_label
_atom_site_type_symbol
_atom_site_fract_x
_atom_site_fract_y
_atom_site_fract_z
Pm1 Pm 0.0000 0.0000 0.0000
Pm2 Pm 0.1339 0.5000 0.1790
Pm3 Pm 0.2311 0.5000 0.7154
Pr1 Pr 0.0854 0.5000 0.6502
Rh1 Rh 0.0276 0.5000 0.2943
Rh2 Rh 0.1693 0.0000 0.4767
```

The following is a PBE-GGA calculation of a geometry-optimized BaGe2IrRh structure, from Alexandria.

Output
N(E_F)	1.406	states/eV/f.u.
energy of formation	-328	kJ/mol of formula units
magnetic moment	0.000	μB per atom

CIF file:
```
data_BaGe2IrRh
_chemical_formula_sum 'Ba2 Ge4 Ir2 Rh2'
_cell_length_a 4.2382
_cell_length_b 4.2382
_cell_length_c 12.0631
_cell_angle_alpha 90.00
_cell_angle_beta 90.00
_cell_angle_gamma 90.00
_space_group_name_H-M_alt 'I -4 m 2'
_space_group_IT_number 119
_space_group_name_Hall 'I -4 -2'
loop_
_atom_site_label
_atom_site_type_symbol
_atom_site_fract_x
_atom_site_fract_y
_atom_site_fract_z
Ba1 Ba 0.0000 0.0000 0.0000
Ge1 Ge 0.0000 0.0000 0.3551
Ir1 Ir 0.0000 0.5000 0.2500
Rh1 Rh 0.0000 0.5000 0.7500
```

The following is a PBE-GGA calculation of a geometry-optimized LiBH12N4 structure, from Alexandria.

Output
N(E_F)	0.000	states/eV/f.u.
magnetic moment	0.000	μB per atom

CIF file:
```
data_LiBH12N4
_chemical_formula_sum 'Li4 B4 H48 N16'
_cell_length_a 12.2261
_cell_length_b 6.5131
_cell_length_c 7.6125
_cell_angle_alpha 90.00
_cell_angle_beta 90.00
_cell_angle_gamma 90.00
_space_group_name_H-M_alt 'P c a 21'
_space_group_IT_number 29
loop_
_space_group_symop_operation_xyz
'x,y,z'
'-x,-y,z+1/2'
'-x+1/2,y,z+1/2'
'x+1/2,-y,z'
loop_
_atom_site_label
_atom_site_type_symbol
_atom_site_fract_x
_atom_site_fract_y
_atom_site_fract_z
Li1 Li 0.2382 0.0074 0.0000
B1 B 0.0019 0.6892 0.1906
H1 H 0.0002 0.2092 0.5545
H2 H 0.0052 0.1966 0.8201
H3 H 0.0763 0.4312 0.6917
H4 H 0.0889 0.0520 0.2267
H5 H 0.0889 0.5934 0.1982
H6 H 0.0927 0.9738 0.6846
H7 H 0.0950 0.2821 0.1357
H8 H 0.1027 0.7431 0.5955
H9 H 0.1357 0.6855 0.8805
H10 H 0.1528 0.3340 0.4088
H11 H 0.2320 0.3149 0.7933
H12 H 0.2402 0.7023 0.2923
N1 N 0.1419 0.1639 0.1845
N2 N 0.1467 0.8573 0.6563
N3 N 0.1902 0.7837 0.8213
N4 N 0.2011 0.2351 0.3376
```

The following is a PBE-GGA calculation of a geometry-optimized NbTlCuTcTe structure, from Alexandria.

Output
N(E_F)	4.187	states/eV/f.u.
energy relative to the elements, uncorrected	0.22	eV per atom
energy relative to the lowest polymorph listed for this composition	11.4	kJ per mole of atoms
magnetic moment	0.000	μB per atom

CIF file:
```
data_NbTlCuTcTe
_chemical_formula_sum 'Nb2 Tl2 Cu2 Tc2 Te2'
_cell_length_a 3.2677
_cell_length_b 4.5067
_cell_length_c 14.0936
_cell_angle_alpha 90.00
_cell_angle_beta 90.00
_cell_angle_gamma 90.00
_space_group_name_H-M_alt 'I m m 2'
_space_group_IT_number 44
loop_
_space_group_symop_operation_xyz
'x,y,z'
'-x,-y,z'
'-x,y,z'
'x,-y,z'
'x+1/2,y+1/2,z+1/2'
'-x+1/2,-y+1/2,z+1/2'
'-x+1/2,y+1/2,z+1/2'
'x+1/2,-y+1/2,z+1/2'
loop_
_atom_site_label
_atom_site_type_symbol
_atom_site_fract_x
_atom_site_fract_y
_atom_site_fract_z
Nb1 Nb 0.0000 0.0000 0.0000
Tl1 Tl 0.0000 0.0000 0.7789
Cu1 Cu 0.0000 0.5000 0.6504
Tc1 Tc 0.0000 0.5000 0.1027
Te1 Te 0.0000 0.0000 0.4469
```

The following is a PBE-GGA calculation of a geometry-optimized MgSiN2 structure, from Alexandria.

Output
N(E_F)	1.351	states/eV/f.u.
energy relative to the elements, uncorrected	0.70	eV per atom
magnetic moment	0.000	μB per atom

CIF file:
```
data_MgSiN2
_chemical_formula_sum 'Mg4 Si4 N8'
_cell_length_a 5.2869
_cell_length_b 5.2869
_cell_length_c 5.2869
_cell_angle_alpha 90.00
_cell_angle_beta 90.00
_cell_angle_gamma 90.00
_space_group_name_H-M_alt 'F m -3 m'
_space_group_IT_number 225
_space_group_name_Hall '-F 4 2 3'
loop_
_atom_site_label
_atom_site_type_symbol
_atom_site_fract_x
_atom_site_fract_y
_atom_site_fract_z
Mg1 Mg 0.0000 0.0000 0.0000
Si1 Si 0.0000 0.0000 0.5000
N1 N 0.2500 0.2500 0.2500
```

The following is a PBE-GGA calculation of a geometry-optimized EuGdAgPt structure, from Alexandria.

Output
N(E_F)	6.702	states/eV/f.u.
energy of formation	-252	kJ/mol of formula units
magnetic moment	0.043	μB per atom

CIF file:
```
data_EuGdAgPt
_chemical_formula_sum 'Eu4 Gd4 Ag4 Pt4'
_cell_length_a 7.2537
_cell_length_b 7.2537
_cell_length_c 7.2537
_cell_angle_alpha 90.00
_cell_angle_beta 90.00
_cell_angle_gamma 90.00
_space_group_name_H-M_alt 'F -4 3 m'
_space_group_IT_number 216
_space_group_name_Hall 'F -4 2 3'
loop_
_atom_site_label
_atom_site_type_symbol
_atom_site_fract_x
_atom_site_fract_y
_atom_site_fract_z
Eu1 Eu 0.0000 0.0000 0.0000
Gd1 Gd 0.0000 0.0000 0.5000
Ag1 Ag 0.2500 0.2500 0.7500
Pt1 Pt 0.2500 0.2500 0.2500
```

no.,final energy (eV per atom)
1,-2.929
2,-7.311
3,-6.041
4,-6.155
5,-4.787
6,-5.791
7,-5.218
8,-8.964